The following is a DFT calculation (GGA-PBE) of La6CePr2Dy after structural relaxation.

```
La6CePr2Dy
1.0
5.918 -3.495 0.000
5.918 3.495 0.000
-4.977 0.000 8.695
La Ce Pr Dy
6 1 2 1
Cartesian
2.820 1.932 1.567
-0.332 0.000 3.634
4.038 1.932 7.128
2.820 -1.932 1.567
7.191 0.000 5.062
4.038 -1.932 7.128
0.000 0.000 0.000
1.179 0.000 6.962
5.680 0.000 1.733
3.429 0.000 4.348
```

Results
calculated density = 6.55 g/cm3
energy of formation = 0.20 eV per atom
V = 35.97 A^3/atom
SG = C2/m (12)

---

The following is a DFT calculation (GGA-PBE) of ScTa2Fe after structural relaxation.

```
ScTa2Fe
1.0
5.427 0.000 0.000
0.000 9.402 0.000
-0.938 0.000 2.686
Sc Ta Fe
2 4 2
Cartesian
0.000 0.000 0.000
2.714 4.701 0.000
0.888 2.350 1.343
0.888 7.051 1.343
3.601 2.350 1.343
3.601 7.051 1.343
0.000 4.701 0.000
2.714 0.000 0.000
```

Results
calculated density = 11.21 g/cm3
energy of formation = 0.23 eV per atom
E above lowest polymorph = 232 meV/atom
V = 17.13 A^3/atom
SG = C2/m (12)

---

The following is a DFT calculation (GGA-PBE) of GeSbN2 after structural relaxation.

```
GeSbN2
1.0
3.177 0.000 0.000
-1.589 2.752 0.000
0.000 0.000 20.092
Ge Sb N
3 3 6
Cartesian
0.000 0.000 0.000
0.000 1.834 13.395
1.589 0.917 6.697
0.000 0.000 10.046
0.000 1.834 3.349
1.589 0.917 16.743
0.000 0.000 2.229
0.000 0.000 17.863
0.000 1.834 11.166
0.000 1.834 15.623
1.589 0.917 4.468
1.589 0.917 8.926
```

Results
calculated density = 6.31 g/cm3
E above lowest polymorph = 152 meV/atom
V = 14.64 A^3/atom
SG = R-3m (166)

---

- Look up the calculated density of the second one.
  11.21 g/cm3